Density functional theory data (PBE+U) for a relaxed Na2CrF crystal.

Structure (CIF):
```
data_Na2CrF
_cell_length_a 7.145
_cell_length_b 7.145
_cell_length_c 7.145
_cell_angle_alpha 90.00
_cell_angle_beta 90.00
_cell_angle_gamma 90.00
_symmetry_space_group_name_H-M 'F m -3 m'
_symmetry_Int_Tables_number 225
_symmetry_space_group_name_Hall '-F 4 2 3'
loop_
_atom_site_label
_atom_site_type_symbol
_atom_site_fract_x
_atom_site_fract_y
_atom_site_fract_z
Na1 Na 0.250 0.250 0.250
Cr1 Cr 0.000 0.000 0.000
F1 F 0.000 0.000 0.500
```

Values from the calculation:
E = -3.414 eV per atom